NiAg2HF6 | GGA+U | optimized geometry

The space group is P2_1/c (No. 14) and the conventional cell measures 5.874, 4.825 and 11.273 Å, with angles of 90.00, 121.31 and 90.00 degrees. The asymmetric unit holds Ni at (0.000, 0.000, 0.000), Ag at (0.312, 0.000, 0.812), H at (0.500, 0.000, 0.500), F at (0.012, 0.195, 0.851), F at (0.310, 0.196, 0.148) and F at (0.375, 0.688, 0.000).

The crystal system is monoclinic. The total energy is -3.718 eV per atom.